# 1
Entry from the Alexandria database: a geometry-optimized NaZrS2 structure (PBE-GGA).

Structure (POSCAR):
```
NaZrS2
1.0
0.000 3.293 3.293
3.293 0.000 3.293
3.293 3.293 0.000
S Zr Na
2 1 1
direct
0.750 0.750 0.750 S
0.250 0.250 0.250 S
0.500 0.500 0.500 Zr
0.000 0.000 0.000 Na
```

Values from the calculation:
ΔE_f (raw)	-0.981	eV per atom
space-group type	Fm-3m, No. 225

# 2
Entry from the Alexandria database: a geometry-optimized TcAsW2 structure (PBE-GGA).

Structure (POSCAR):
```
TcAsW2
1.0
5.239 0.000 0.004
2.488 4.610 -0.004
-3.403 -3.077 2.529
W Tc As
2 1 1
direct
0.267 0.767 0.500 W
0.996 0.996 0.000 W
0.732 0.232 0.500 Tc
0.505 0.505 0.000 As
```

Values from the calculation:
space-group type	Imm2, No. 44
ΔH_f (0 K)	19.7	kJ/mol of atoms

# 3
Entry from the Alexandria database: a geometry-optimized Pa2NbPd structure (PBE-GGA).

Structure (POSCAR):
```
Pa2NbPd
1.0
-1.985 -3.026 -3.410
0.029 -4.919 0.723
-4.247 -2.395 0.973
Nb Pa Pd
1 2 1
direct
0.000 0.000 0.000 Nb
0.250 0.250 0.250 Pa
0.750 0.750 0.750 Pa
0.500 0.500 0.500 Pd
```

Values from the calculation:
space-group type	Fm-3m, No. 225
ΔH_f (0 K)	-3.8	kJ/mol of atoms

# 4
Entry from the Alexandria database: a geometry-optimized CrPdS2 structure (PBE-GGA).

Structure (POSCAR):
```
CrPdS2
1.0
0.306 -4.189 -1.126
-0.843 -3.105 2.926
-3.594 -2.420 -0.372
S Pd Cr
2 1 1
direct
0.750 0.750 0.750 S
0.250 0.250 0.250 S
0.500 0.500 0.500 Pd
0.000 0.000 0.000 Cr
```

Values from the calculation:
ΔE_f (raw)	-0.032	eV per atom
space-group type	Fm-3m, No. 225

| no. | calculated total energy (eV per atom) | calculated density (g/cm3) | total moment (μB per formula unit) |
| --- | --- | --- | --- |
| 1 | -5.51 | 4.15 | 1.00 |
| 2 | -10.03 | 14.70 | 0.00 |
| 3 | -8.60 | 12.64 | 0.00 |
| 4 | -5.80 | 6.35 | 2.49 |